Pr2Sm5Er12 | PBE | relaxed

abc: 6.1625 9.4394 10.6617
angles: 101.04 95.53 90.11
Element x y z (fractional)
Pr 0.0801 0.3160 0.4737
Pr 0.9199 0.6840 0.5263
Sm 0.2381 0.9470 0.4204
Sm 0.3415 0.3681 0.0520
Sm 0.5000 0.0000 0.0000
Sm 0.6585 0.6319 0.9480
Sm 0.7619 0.0530 0.5796
Er 0.0256 0.1050 0.1562
Er 0.1319 0.5259 0.7910
Er 0.1838 0.7369 0.1044
Er 0.2890 0.1578 0.7386
Er 0.3961 0.5790 0.3671
Er 0.4462 0.7891 0.6855
Er 0.5538 0.2109 0.3145
Er 0.6039 0.4210 0.6329
Er 0.7110 0.8422 0.2614
Er 0.8162 0.2631 0.8956
Er 0.8681 0.4741 0.2090
Er 0.9744 0.8950 0.8438

Properties
Calculated total energy (eV/atom): -4.6055
Energy of formation from the pure elements (eV per atom): 0.0213
ΔE to the lowest computed polymorph (eV/atom): 0.000
DOS at the Fermi energy (states/eV/cell): 25.572
SG: P-1